CrSi2Os, relaxed, DFT GGA-PBE; raw formation energy = 0.080 eV per atom; DOS(E_F) = 3.06 states/eV/cell
1.0
1.4487 -2.3723 0.0000
1.4487 2.3723 0.0000
0.0000 0.0000 7.7014
Cr Si Os
1 2 1
Direct
0.0000 0.0000 0.0000 Cr
0.5000 0.5000 0.2420 Si
0.5000 0.5000 0.7580 Si
0.0000 0.0000 0.5000 Os